Entry 1:
Computed, not measured: an optimized crystal structure of Be2NbReCl at the PBE level of DFT.

a b c (Å): 4.227 4.227 4.542
angles (deg): 90.00 90.00 90.00
Space group P4/mmm (No. 123)
Unique sites:
Be  0.000  0.500  0.000 [2 per cell]
Nb  0.000  0.000  0.500 [1 per cell]
Re  0.500  0.500  0.000 [1 per cell]
Cl  0.500  0.500  0.500 [1 per cell]

Spin magnetization in μB/f.u.: 0.0
Total DFT energy (no corrections) in eV/atom: -5.038

Entry 2:
Computed, not measured: an optimized crystal structure of Tl3HgPd6 at the PBE level of DFT.

a b c (Å): 7.996 4.810 10.217
angles (deg): 90.00 111.40 90.00
Space group P2_1/m (No. 11)
Unique sites:
Tl  0.069  0.250  0.215 [2 per cell]
Tl  0.307  0.250  0.020 [2 per cell]
Tl  0.343  0.750  0.375 [2 per cell]
Hg  0.127  0.750  0.576 [2 per cell]
Pd  0.089  0.250  0.723 [2 per cell]
Pd  0.119  0.750  0.077 [2 per cell]
Pd  0.276  0.250  0.516 [2 per cell]
Pd  0.310  0.750  0.872 [2 per cell]
Pd  0.481  0.250  0.822 [2 per cell]
Pd  0.491  0.250  0.321 [2 per cell]

Spin magnetization in μB/f.u.: 0.0
Energy of formation in eV/atom: -0.14
E above lowest polymorph in kcal/mol of atoms: 0.000

Entry 3:
Computed, not measured: an optimized crystal structure of CuTe3Br at the PBE level of DFT.

a b c (Å): 5.158 5.158 5.158
angles (deg): 90.00 90.00 90.00
Space group Pm-3m (No. 221)
Unique sites:
Cu  0.000  0.000  0.000 [1 per cell]
Te  0.000  0.000  0.500 [3 per cell]
Br  0.500  0.500  0.500 [1 per cell]

Spin magnetization in μB/f.u.: 0.0
E above lowest polymorph in kcal/mol of atoms: 9.940

Entry 4:
Computed, not measured: an optimized crystal structure of Sm2DyTlO6 at the PBE level of DFT.

a b c (Å): 5.9157 5.9157 15.4105
angles (deg): 90.00 90.00 120.00
Space group R3 (No. 146, hexagonal axes)
Unique sites:
Sm  0.0000  0.0000  0.0000 [3 per cell]
Sm  0.0000  0.0000  0.4974 [3 per cell]
Dy  0.0000  0.0000  0.7169 [3 per cell]
Tl  0.0000  0.0000  0.2181 [3 per cell]
O  0.0445  0.6802  0.7753 [9 per cell]
O  0.0507  0.3735  0.2780 [9 per cell]

Spin magnetization in μB/f.u.: 0.0
Total DFT energy (no corrections) in eV/atom: -7.348

Entry 5:
Computed, not measured: an optimized crystal structure of PrCdInPb at the PBE level of DFT.

a b c (Å): 7.724 7.724 7.724
angles (deg): 90.00 90.00 90.00
Space group F-43m (No. 216)
Unique sites:
Pr  0.000  0.000  0.000 [4 per cell]
Cd  0.250  0.250  0.250 [4 per cell]
In  0.250  0.250  0.750 [4 per cell]
Pb  0.000  0.000  0.500 [4 per cell]

Spin magnetization in μB/f.u.: 0.0
Energy of formation in eV/atom: -0.19
E above lowest polymorph in kcal/mol of atoms: 5.080

Entry 6:
Computed, not measured: an optimized crystal structure of YTi3Fe at the PBE level of DFT.

a b c (Å): 4.616 4.616 4.616
angles (deg): 90.00 90.00 90.00
Space group Pm-3m (No. 221)
Unique sites:
Y  0.000  0.000  0.000 [1 per cell]
Ti  0.000  0.500  0.500 [3 per cell]
Fe  0.500  0.500  0.500 [1 per cell]

Spin magnetization in μB/f.u.: 0.2
Energy of formation in eV/atom: 0.13
E above lowest polymorph in kcal/mol of atoms: 0.000

Entry 7:
Computed, not measured: an optimized crystal structure of DyTlAg4 at the PBE level of DFT.

a b c (Å): 7.961 7.961 7.961
angles (deg): 90.00 90.00 90.00
Space group F-43m (No. 216)
Unique sites:
Dy  0.000  0.000  0.000 [4 per cell]
Tl  0.250  0.250  0.250 [4 per cell]
Ag  0.125  0.125  0.625 [16 per cell]

Spin magnetization in μB/f.u.: 0.0
Energy of formation in eV/atom: -0.16

Entry 8:
Computed, not measured: an optimized crystal structure of Pu5AgRh4 at the PBE level of DFT.

a b c (Å): 2.642 2.642 23.853
angles (deg): 90.00 90.00 90.00
Space group P4/mmm (No. 123)
Unique sites:
Pu  0.000  0.000  0.000 [1 per cell]
Pu  0.000  0.000  0.195 [2 per cell]
Pu  0.000  0.000  0.389 [2 per cell]
Ag  0.500  0.500  0.500 [1 per cell]
Rh  0.500  0.500  0.097 [2 per cell]
Rh  0.500  0.500  0.292 [2 per cell]

Spin magnetization in μB/f.u.: 0.0
Energy of formation in eV/atom: 0.37